A relaxed Ca2HoN2Cl2 crystal. Source: Alexandria, functional PBE.

Properties
**D(E_F)**: 2.74 states/eV/f.u.
**Formation energy without anion corrections**: -1.458 eV per atom
**Total magnetization**: 0.03 μB/atom

Unit cell a=7.8378 b=7.8378 c=7.8378 alpha=147.39 beta=147.39 gamma=46.78
Positions (direct):
Ca (0.1079, 0.1079, 0.0000)
Ca (0.8921, 0.8921, 0.0000)
Ho (0.5000, 0.5000, 0.0000)
N (0.0000, 0.5000, 0.5000)
N (0.5000, 0.0000, 0.5000)
Cl (0.3092, 0.3092, 0.0000)
Cl (0.6908, 0.6908, 0.0000)